Entry from the Alexandria database: LaAuCl at its PBEsol-relaxed geometry (SCAN).

Energy   -124.27 eV/f.u.
Energy relative to the elements, uncorrected   -1.34 eV per atom
E above lowest polymorph   0 meV per atom
Symmetry   P3m1, No. 156

abc: 3.6988 4.7759 4.7759
angles: 120.00 90.00 90.00
Fractional coordinates of all 3 atoms:
Cl (0.4990, 0.3333, 0.6667)
La (0.5009, 0.6667, 0.3333)
Au (0.0001, 0.0000, 0.0000)